The following is a DFT calculation (PBE) of Nd3Ga4 after structural relaxation.

Computed properties:
The value obtained for the energy relative to the lowest polymorph listed for this composition is 0.00 eV/f.u. As for the symmetry: Immm, No. 71.

Unit cell a=9.890 b=9.890 c=9.890 alpha=155.37 beta=154.33 gamma=35.87
Atoms (fractional coordinates):
Nd: 0.000 0.000 0.000
Nd: 0.184 0.684 0.500
Nd: 0.816 0.316 0.500
Ga: 0.358 0.858 0.500
Ga: 0.434 0.434 0.000
Ga: 0.566 0.566 0.000
Ga: 0.642 0.142 0.500

---

The following is a DFT calculation (PBE) of NdGa2 after structural relaxation.

Computed properties:
The calculation puts the total energy at -0.085 Ha/atom. As for the symmetry: Fd-3m, No. 227.

Unit cell a=9.832 b=9.832 c=9.832 alpha=60.00 beta=60.00 gamma=60.00
Atoms (fractional coordinates):
Nd: 0.125 0.125 0.125
Nd: 0.875 0.875 0.875
Ga: 0.000 0.000 0.000
Ga: 0.000 0.000 0.500
Ga: 0.000 0.500 0.000
Ga: 0.500 0.000 0.000

---

The following is a DFT calculation (PBE) of NdGa2 after structural relaxation.

Computed properties:
The calculation puts the total energy at -0.158 Ha/atom. As for the symmetry: P6/mmm, No. 191.

Unit cell a=4.278 b=4.278 c=4.272 alpha=90.00 beta=90.00 gamma=120.00
Atoms (fractional coordinates):
Nd: 0.000 0.000 0.000
Ga: 0.333 0.667 0.500
Ga: 0.667 0.333 0.500

---

The following is a DFT calculation (PBE) of NdGa3 after structural relaxation.

Computed properties:
The value obtained for the energy relative to the lowest polymorph listed for this composition is 0.00 eV/f.u. As for the symmetry: P6_3/mmc, No. 194.

Unit cell a=6.493 b=6.493 c=4.539 alpha=90.00 beta=90.00 gamma=120.00
Atoms (fractional coordinates):
Nd: 0.333 0.667 0.250
Nd: 0.667 0.333 0.750
Ga: 0.143 0.287 0.750
Ga: 0.143 0.857 0.750
Ga: 0.287 0.143 0.250
Ga: 0.713 0.857 0.750
Ga: 0.857 0.143 0.250
Ga: 0.857 0.713 0.250